Sc2CoIrO6 PBE+U relaxed; ρ = 6.953 Mg/m³; symmetry = P2_1/c (14); calculated volume = 10.4 Å³ per atom; final energy = -0.28445 hartree per atom
1.0
5.037 0.000 0.000
0.000 5.409 0.000
-4.810 0.000 7.662
Sc Co Ir O
4 2 2 12
Direct
0.213 0.076 0.245 Sc
0.213 0.424 0.745 Sc
0.787 0.576 0.255 Sc
0.787 0.924 0.755 Sc
0.000 0.000 0.500 Co
0.000 0.500 0.000 Co
0.500 0.000 0.000 Ir
0.500 0.500 0.500 Ir
0.102 0.190 0.926 O
0.102 0.310 0.426 O
0.236 0.693 0.918 O
0.236 0.807 0.418 O
0.408 0.070 0.756 O
0.408 0.430 0.256 O
0.592 0.570 0.744 O
0.592 0.930 0.244 O
0.764 0.193 0.582 O
0.764 0.307 0.082 O
0.898 0.690 0.574 O
0.898 0.810 0.074 O